No. 1
YFeNi2Mo: relaxed, PBE.

Structure (POSCAR):
```
YFeNi2Mo
1.0
4.515 0.000 0.000
0.000 4.515 0.000
0.000 0.000 5.169
Y Fe Ni Mo
1 1 2 1
Cartesian
0.000 0.000 0.000
2.258 2.258 0.000
0.000 2.258 2.584
2.258 0.000 2.584
0.000 0.000 2.584
```

Values from the calculation:
The density of states at the Fermi level is 1.4264 states/eV/atom. For the energy relative to the elements, the calculation gives 1314 meV/atom. The calculation puts the mass density at 5.64 Mg/m³. The total moment is 3.000 μB per formula unit.

---

No. 2
ZnFeNiMo: relaxed, PBE.

Structure (POSCAR):
```
ZnFeNiMo
1.0
0.000 2.948 2.948
2.948 0.000 2.948
2.948 2.948 0.000
Zn Fe Ni Mo
1 1 1 1
Cartesian
0.000 0.000 0.000
4.422 4.422 4.422
1.474 1.474 1.474
2.948 2.948 2.948
```

Values from the calculation:
The density of states at the Fermi level is 0.6897 states/eV/atom. For the energy relative to the elements, the calculation gives 76 meV/atom. The calculation puts the mass density at 8.94 Mg/m³. The total moment is 1.861 μB per formula unit.

---

No. 3
NpFeMo: relaxed, PBE.

Structure (POSCAR):
```
NpFeMo
1.0
-1.428 2.819 6.127
1.428 -2.819 6.127
1.428 2.819 -6.127
Np Fe Mo
2 2 2
Cartesian
0.000 0.000 2.130
0.000 0.000 10.124
0.000 1.253 0.000
0.000 4.384 0.000
0.000 0.000 4.598
0.000 0.000 7.655
```

Values from the calculation:
The density of states at the Fermi level is 2.1122 states/eV/atom. For the energy relative to the elements, the calculation gives 478 meV/atom. The calculation puts the mass density at 13.09 Mg/m³. The total moment is 1.758 μB per formula unit.

---

Copy entry 2 word for word.
ZnFeNiMo: relaxed, PBE.

Structure (POSCAR):
```
ZnFeNiMo
1.0
0.000 2.948 2.948
2.948 0.000 2.948
2.948 2.948 0.000
Zn Fe Ni Mo
1 1 1 1
Cartesian
0.000 0.000 0.000
4.422 4.422 4.422
1.474 1.474 1.474
2.948 2.948 2.948
```

Values from the calculation:
The density of states at the Fermi level is 0.6897 states/eV/atom. For the energy relative to the elements, the calculation gives 76 meV/atom. The calculation puts the mass density at 8.94 Mg/m³. The total moment is 1.861 μB per formula unit.